Tl3H4I4: optimized geometry, PBE.

CIF file:
```
data_Tl3H4I4
_chemical_formula_sum 'Tl3 H4 I4'
_cell_length_a 4.209
_cell_length_b 9.026
_cell_length_c 10.083
_cell_angle_alpha 64.35
_cell_angle_beta 77.95
_cell_angle_gamma 76.52
_space_group_name_H-M_alt 'P 1'
_space_group_IT_number 1
_space_group_name_Hall 'P 1'
loop_
_atom_site_label
_atom_site_fract_x
_atom_site_fract_y
_atom_site_fract_z
Tl1 0.874 0.252 0.000
Tl2 0.126 0.748 0.000
Tl3 0.000 0.500 0.500
H1 0.663 0.128 0.546
H2 0.420 0.212 0.948
H3 0.337 0.872 0.454
H4 0.580 0.788 0.052
I1 0.796 0.640 0.768
I2 0.204 0.360 0.232
I3 0.429 0.847 0.295
I4 0.571 0.153 0.705
```

For the raw total energy, the calculation gives -2.397 eV per atom. The magnetization is 0.0 μB/f.u.